Entry 1:
PBE LaOsBr2, relaxed; electronic total energy = -21.4 eV/cell; DOS(E_F) = 1.9 states/eV/cell; symmetry = C2/m, No. 12
1.0
7.495 -1.933 0.000
7.495 1.933 0.000
-0.107 0.000 4.482
La Os Br
1 1 2
direct
0.000 0.000 0.000
0.500 0.500 0.500
0.351 0.351 0.244
0.649 0.649 0.756

=====

Entry 2:
PBE ScC2, relaxed; DOS(E_F) = 1.3 states/eV/cell; symmetry = R3m, No. 160; energy relative to the elements = 0.3695 eV per atom
1.0
1.358 0.784 4.210
-1.358 0.784 4.210
0.000 -1.568 4.210
Sc C
1 2
direct
0.000 0.000 0.000
0.182 0.182 0.182
0.486 0.486 0.486

=====

Entry 3:
PBE LaGe3Rh3, relaxed; DOS(E_F) = 9.4 states/eV/cell; symmetry = R-3, No. 148; energy relative to the elements = -0.5175 eV per atom
1.0
3.423 1.976 7.074
-3.423 1.976 7.074
0.000 -3.953 7.074
La Ge Rh
2 6 6
direct
0.172 0.172 0.172
0.828 0.828 0.828
0.148 0.374 0.701
0.299 0.852 0.626
0.374 0.701 0.148
0.626 0.299 0.852
0.701 0.148 0.374
0.852 0.626 0.299
0.022 0.266 0.580
0.266 0.580 0.022
0.420 0.978 0.734
0.580 0.022 0.266
0.734 0.420 0.978
0.978 0.734 0.420

=====

Entry 4:
PBE AcTbHo3Tm, relaxed; DOS(E_F) = 17.8 states/eV/cell; symmetry = C2/m, No. 12; energy relative to the elements = 0.1432 eV per atom
1.0
9.958 -2.468 0.000
9.958 2.468 0.000
-0.018 0.000 8.440
Ac Tb Ho Tm
2 2 6 2
direct
0.100 0.100 0.059
0.900 0.900 0.941
0.428 0.428 0.623
0.572 0.572 0.377
0.047 0.047 0.653
0.267 0.267 0.846
0.344 0.344 0.254
0.656 0.656 0.746
0.733 0.733 0.154
0.953 0.953 0.347
0.192 0.192 0.455
0.808 0.808 0.545

=====

Entry 5:
PBE GeTe2SeN, relaxed; electronic total energy = -18.9 eV/cell; DOS(E_F) = 3.8 states/eV/cell; symmetry = P4/mmm, No. 123
1.0
5.646 0.000 0.000
0.000 5.646 0.000
0.000 0.000 3.554
Ge Te Se N
1 2 1 1
direct
0.000 0.000 0.000
0.000 0.500 0.000
0.500 0.000 0.000
0.500 0.500 0.500
0.000 0.000 0.500

=====

Entry 6:
PBE Ag2TeAu, relaxed; electronic total energy = -11.7 eV/cell; DOS(E_F) = 1.2 states/eV/cell; symmetry = Pmm2, No. 25
1.0
3.552 0.000 0.000
0.000 3.965 0.000
0.000 0.000 5.894
Ag Te Au
2 1 1
direct
0.000 0.000 0.000
0.500 0.500 0.250
0.500 0.500 0.750
0.000 0.000 0.477

=====

Entry 7:
PBE Na4Pm3DyS8, relaxed; electronic total energy = -86.2 eV/cell; DOS(E_F) = 0.0 states/eV/cell; symmetry = R-3m, No. 166
1.0
4.072 2.351 6.690
-4.072 2.351 6.690
0.000 -4.702 6.690
Na Pm Dy S
4 3 1 8
direct
0.000 0.000 0.000
0.000 0.500 0.500
0.500 0.000 0.500
0.500 0.500 0.000
0.000 0.000 0.500
0.000 0.500 0.000
0.500 0.000 0.000
0.500 0.500 0.500
0.244 0.244 0.244
0.249 0.740 0.740
0.260 0.260 0.751
0.260 0.751 0.260
0.740 0.249 0.740
0.740 0.740 0.249
0.751 0.260 0.260
0.756 0.756 0.756

=====

Entry 8:
PBE CaAs2SeF, relaxed; electronic total energy = -14.4 eV/cell; DOS(E_F) = 6.6 states/eV/cell; symmetry = P4/mmm, No. 123
1.0
5.467 0.000 0.000
0.000 5.467 0.000
0.000 0.000 5.253
Ca As Se F
1 2 1 1
direct
0.000 0.000 0.000
0.000 0.500 0.000
0.500 0.000 0.000
0.000 0.000 0.500
0.500 0.500 0.500

=====

Which value of DOS(E_F) does entry 4 give? 17.8 states/eV/cell